1.
An optimized crystal structure of MgZn2Ru, computed with PBE.

It has space group Cmm2 (No. 35), with a = 3.092 Å, b = 4.616 Å, c = 8.766 Å, α = 90.00°, β = 90.00° and γ = 90.00°. The inequivalent atoms are Mg at (0.000, 0.000, 0.000), Zn at (0.000, 0.000, 0.523), Zn at (0.000, 0.500, 0.272) and Ru at (0.000, 0.500, 0.756).

=====

2.
An optimized crystal structure of Mg2ZnRu, computed with PBE.

It has space group I-42d (No. 122), with a = 7.135 Å, b = 7.135 Å, c = 5.403 Å, α = 90.00°, β = 90.00° and γ = 90.00°. The inequivalent atoms are Mg at (0.248, 0.750, 0.125), Zn at (0.000, 0.000, 0.000) and Ru at (0.000, 0.000, 0.500).

=====

3.
An optimized crystal structure of Mg4ZnRu, computed with PBE.

It has space group F-43m (No. 216), with a = 7.645 Å, b = 7.645 Å, c = 7.645 Å, α = 90.00°, β = 90.00° and γ = 90.00°. The inequivalent atoms are Mg at (0.125, 0.125, 0.125), Zn at (0.000, 0.000, 0.500) and Ru at (0.250, 0.250, 0.750).

=====

The evaluated energy of formation for the records listed, in turn: 10 24 39 kJ/mol of atoms.
The evaluated magnetization for the records listed, in turn: 0.25 0.00 0.00 Bohr magnetons per cell.
The evaluated VASP energy for the records listed, in turn: -3.25 -3.18 -2.42 eV/atom.